No. 1
! Sn2SICl | Alexandria | PBE-GGA | optimized geometry; values from VASP
! Total magnetic moment in μB/f.u.: 0.000
! Space-group type: P2/c, No. 13
! ΔE_f (raw) in eV per atom: -0.59
&SYSTEM
  ibrav = 0, nat = 10, ntyp = 4
/
ATOMIC_SPECIES
Sn 118.71 Sn.upf
S 32.06 S.upf
I 126.90 I.upf
Cl 35.45 Cl.upf
CELL_PARAMETERS angstrom
6.8916 0.0000 0.0000
0.0000 7.5666 -0.3044
0.0000 -2.5387 6.4257
ATOMIC_POSITIONS angstrom
Sn 4.7486 3.5090 5.5877
Sn 4.7486 0.2495 3.7466
Sn 2.1430 4.7784 2.3748
Sn 2.1430 1.5189 0.5337
S 3.4131 -0.6347 1.6064
S 3.4785 -1.9040 4.8193
I 1.9976 1.8793 4.6671
I 4.8941 3.1486 1.4543
Cl 0.0000 0.0000 0.0000
Cl 0.0000 -1.2694 3.2129



No. 2
! SnS2ICl | Alexandria | PBE-GGA | optimized geometry; values from VASP
! Polymorph energy (0 for the lowest one) in meV per atom: 0
! Total magnetic moment in μB/f.u.: 1.403
! Space-group type: P4/mmm, No. 123
! ΔE_f (raw) in eV per atom: 0.22
&SYSTEM
  ibrav = 0, nat = 5, ntyp = 4
/
ATOMIC_SPECIES
I 126.90 I.upf
S 32.06 S.upf
Sn 118.71 Sn.upf
Cl 35.45 Cl.upf
CELL_PARAMETERS angstrom
-0.3932 -4.9057 -1.5000
2.1363 -1.5243 4.4253
-4.6186 -0.2819 2.1326
ATOMIC_POSITIONS angstrom
I -1.4378 -3.3559 2.5289
S 1.0681 -0.7621 2.2126
S -0.1966 -2.4528 -0.7500
Sn 0.0000 0.0000 0.0000
Cl -2.3093 -0.1409 1.0663



No. 3
! SrS2ICl | Alexandria | PBE-GGA | optimized geometry; values from VASP
! Polymorph energy (0 for the lowest one) in meV per atom: 231
! Total magnetic moment in μB/f.u.: 4.056
! Space-group type: P4/mmm, No. 123
! ΔE_f (raw) in eV per atom: -0.19
&SYSTEM
  ibrav = 0, nat = 5, ntyp = 4
/
ATOMIC_SPECIES
I 126.90 I.upf
Sr 87.62 Sr.upf
S 32.06 S.upf
Cl 35.45 Cl.upf
CELL_PARAMETERS angstrom
6.0246 0.0000 0.0000
0.0000 6.0246 0.0000
0.0000 0.0000 5.4689
ATOMIC_POSITIONS angstrom
I 3.0123 3.0123 2.7345
Sr 0.0000 0.0000 0.0000
S 0.0000 3.0123 0.0000
S 3.0123 0.0000 0.0000
Cl 0.0000 0.0000 2.7345



No. 4
! SrS2ICl | Alexandria | PBE-GGA | optimized geometry; values from VASP
! Polymorph energy (0 for the lowest one) in meV per atom: 0
! Total magnetic moment in μB/f.u.: 0.000
! Space-group type: P4/mmm, No. 123
! ΔE_f (raw) in eV per atom: -0.42
&SYSTEM
  ibrav = 0, nat = 5, ntyp = 4
/
ATOMIC_SPECIES
I 126.90 I.upf
Sr 87.62 Sr.upf
S 32.06 S.upf
Cl 35.45 Cl.upf
CELL_PARAMETERS angstrom
5.1554 0.0000 0.0000
0.0000 5.1554 0.0000
0.0000 0.0000 5.6861
ATOMIC_POSITIONS angstrom
I 0.0000 0.0000 0.0000
Sr 2.5777 2.5777 2.8431
S 0.0000 2.5777 0.0000
S 2.5777 0.0000 0.0000
Cl 0.0000 0.0000 2.8431